## SrLaCdSi (PBE-GGA)

Data for a geometry-optimized SrLaCdSi structure.

Unit cell a=5.4482 b=5.4482 c=5.4482 alpha=60.00 beta=60.00 gamma=60.00
Fractional positions:
Sr1 0.0000 0.0000 0.0000
La1 0.5000 0.5000 0.5000
Cd1 0.7500 0.7500 0.7500
Si1 0.2500 0.2500 0.2500

Calculated values
Energy relative to the elements, uncorrected ... -322 meV/atom